(one)
The following is a PBE calculation of an optimized crystal structure of CsCaTa, from Alexandria via LeMat-Bulk.

Output
Total magnetization: 0.00 μB/f.u.

a = 14.434 Å, b = 4.186 Å, c = 4.861 Å
α = 90.00°, β = 99.77°, γ = 90.00°
Fractional coordinates of all 6 atoms:
Cs 0.839 0.250 0.171
Cs 0.161 0.750 0.829
Ca 0.396 0.250 0.447
Ca 0.604 0.750 0.553
Ta 0.554 0.250 0.027
Ta 0.446 0.750 0.973



(two)
The following is a PBE calculation of an optimized crystal structure of CsCaTa, from Alexandria via LeMat-Bulk.

Output
Total magnetization: 4.10 μB/f.u.

a = 10.006 Å, b = 7.550 Å, c = 6.074 Å
α = 90.00°, β = 90.00°, γ = 90.00°
Last column: magnetic moment on the atom in μB.
Fractional coordinates of all 12 atoms:
Cs 0.653 0.250 0.000  0.09
Cs 0.847 0.750 0.500  0.09
Cs 0.347 0.750 0.000  0.09
Cs 0.153 0.250 0.500  0.09
Ca 0.000 0.000 0.000  0.09
Ca 0.500 0.500 0.500  0.09
Ca 0.500 0.000 0.500  0.09
Ca 0.000 0.500 0.000  0.09
Ta 0.311 0.250 0.000  2.09
Ta 0.189 0.750 0.500  2.09
Ta 0.689 0.750 0.000  2.10
Ta 0.811 0.250 0.500  2.10



(three)
The following is a PBE calculation of an optimized crystal structure of CsCaTa, from Alexandria via LeMat-Bulk.

Output
Total magnetization: 0.00 μB/f.u.

a = 10.974 Å, b = 6.768 Å, c = 3.548 Å
α = 105.46°, β = 92.16°, γ = 101.93°
Fractional coordinates of all 6 atoms:
Cs 0.624 0.022 0.550
Cs 0.035 0.164 0.589
Ca 0.914 0.626 0.780
Ca 0.368 0.445 0.741
Ta 0.174 0.686 0.341
Ta 0.297 0.938 0.984



Most stable one: (one), least stable one: (two).



(one)
The following is a PBE calculation of an optimized crystal structure of CsCaTa, from Alexandria via LeMat-Bulk.

Output
Total magnetization: 0.00 μB/f.u.

a = 15.643 Å, b = 5.637 Å, c = 5.641 Å
α = 120.03°, β = 122.78°, γ = 58.19°
Fractional coordinates of all 6 atoms:
Cs 0.553 0.350 0.052
Cs 0.918 0.284 0.067
Ca 0.203 0.682 0.693
Ca 0.268 0.953 0.427
Ta 0.328 0.230 0.155
Ta 0.143 0.405 0.965



(two)
The following is a PBE calculation of an optimized crystal structure of CsCaTa, from Alexandria via LeMat-Bulk.

Output
Total magnetization: 3.95 μB/f.u.

a = 6.094 Å, b = 6.094 Å, c = 7.053 Å
α = 90.00°, β = 90.00°, γ = 120.00°
Last column: magnetic moment on the atom in μB.
Fractional coordinates of all 6 atoms:
Cs 0.000 0.000 0.750  0.07
Cs 0.000 0.000 0.250  0.07
Ca 0.333 0.667 0.000  0.12
Ca 0.667 0.333 0.500  0.12
Ta 0.333 0.667 0.500  2.00
Ta 0.667 0.333 0.000  2.00



Most stable one: (one), least stable one: (two).